## Tl2TeOs (PBE)

Data for a geometry-optimized Tl2TeOs structure.

As for the total magnetization: 1.01 μB per cell. As for the uncorrected formation energy: 370 kJ/mol of formula units. The calculation puts the energy above the most stable polymorph in this dataset at 570 meV/atom.

The structure belongs to space group P4/mmm (No. 123); the cell edges are 4.114, 4.114 and 5.806 Å and the angles 90.00°, 90.00° and 90.00°. The inequivalent atoms are Tl at (0.000, 0.500, 0.000), Te at (0.000, 0.000, 0.500) and Os at (0.500, 0.500, 0.500).